# Tb7Pm2Sc2 | Alexandria | GGA-PBE | optimized geometry
data_Tb7Pm2Sc2
_cell_length_a 3.608
_cell_length_b 17.779
_cell_length_c 11.014
_cell_angle_alpha 90.00
_cell_angle_beta 90.00
_cell_angle_gamma 90.00
_space_group_name_H-M_alt 'I m m 2'
_space_group_IT_number 44
loop_
_space_group_symop_operation_xyz
'x,y,z'
'-x,-y,z'
'-x,y,z'
'x,-y,z'
'x+1/2,y+1/2,z+1/2'
'-x+1/2,-y+1/2,z+1/2'
'-x+1/2,y+1/2,z+1/2'
'x+1/2,-y+1/2,z+1/2'
loop_
_atom_site_label
_atom_site_type_symbol
_atom_site_fract_x
_atom_site_fract_y
_atom_site_fract_z
Tb1 Tb 0.000 0.000 0.000
Tb2 Tb 0.000 0.157 0.500
Tb3 Tb 0.000 0.306 0.740
Tb4 Tb 0.000 0.364 0.282
Pm1 Pm 0.000 0.000 0.651
Pm2 Pm 0.000 0.500 0.842
Sc1 Sc 0.000 0.190 0.000
# energy relative to the lowest polymorph listed for this composition	0.0	meV/atom

---

Computed, not measured: a relaxed structure of TbPm12Sc3 at the GGA-PBE level of DFT.

Structure (CIF):
```
data_TbPm12Sc3
_cell_length_a 5.051
_cell_length_b 5.051
_cell_length_c 20.161
_cell_angle_alpha 90.00
_cell_angle_beta 90.00
_cell_angle_gamma 90.00
_space_group_name_H-M_alt 'P 4/m m m'
_space_group_IT_number 123
_space_group_name_Hall '-P 4 2'
loop_
_atom_site_label
_atom_site_type_symbol
_atom_site_fract_x
_atom_site_fract_y
_atom_site_fract_z
Tb1 Tb 0.000 0.000 0.000
Pm1 Pm 0.000 0.500 0.129
Pm2 Pm 0.000 0.500 0.376
Pm3 Pm 0.500 0.500 0.000
Pm4 Pm 0.500 0.500 0.253
Pm5 Pm 0.500 0.500 0.500
Sc1 Sc 0.000 0.000 0.253
Sc2 Sc 0.000 0.000 0.500
```

---

# Tb5Pm4Sc2 | Alexandria | GGA-PBE | optimized geometry
data_Tb5Pm4Sc2
_cell_length_a 18.057
_cell_length_b 5.005
_cell_length_c 7.908
_cell_angle_alpha 90.00
_cell_angle_beta 105.35
_cell_angle_gamma 90.00
_space_group_name_H-M_alt 'C 1 2/m 1'
_space_group_IT_number 12
loop_
_space_group_symop_operation_xyz
'x,y,z'
'-x,-y,-z'
'-x,y,-z'
'x,-y,z'
'x+1/2,y+1/2,z'
'-x+1/2,-y+1/2,-z'
'-x+1/2,y+1/2,-z'
'x+1/2,-y+1/2,z'
loop_
_atom_site_label
_atom_site_type_symbol
_atom_site_fract_x
_atom_site_fract_y
_atom_site_fract_z
Tb1 Tb 0.000 0.000 0.000
Tb2 Tb 0.135 0.500 0.185
Tb3 Tb 0.227 0.500 0.630
Pm1 Pm 0.044 0.500 0.722
Pm2 Pm 0.182 0.000 0.905
Sc1 Sc 0.090 0.000 0.454
# energy relative to the lowest polymorph listed for this composition	0.0	meV/atom

---

no.,ΔE_f (eV per atom),electronic total energy (hartree per atom)
1,0.169,-0.176
2,0.033,-0.184
3,0.038,-0.182